The following is a DFT calculation (GGA-PBE) of a relaxed K2BaMn crystal.

For the theoretical density, the calculation gives 2.38 g/cm3. The total energy is -2.706 eV/atom. The energy above the lowest structure with this stoichiometry comes out at 135.0 meV/atom. Its formation energy is 0.616 eV per atom.

Structure (CIF):
```
data_K2BaMn
_cell_length_a 6.447
_cell_length_b 6.447
_cell_length_c 6.447
_cell_angle_alpha 120.16
_cell_angle_beta 120.16
_cell_angle_gamma 89.72
_space_group_name_H-M_alt 'P 1'
_space_group_IT_number 1
loop_
_space_group_symop_operation_xyz
'x,y,z'
loop_
_atom_site_label
_atom_site_type_symbol
_atom_site_fract_x
_atom_site_fract_y
_atom_site_fract_z
K1 K 0.000 0.000 0.000
K2 K 0.750 0.250 0.500
Ba1 Ba 0.500 0.500 0.000
Mn1 Mn 0.250 0.750 0.500
```